CaPd6Pb2 | PBE | relaxed

Summary:
Space group: Immm (71)
Mass density: 9.9 g cm⁻³
Density of states at the Fermi level: 3.0 states/eV/cell
E_form: -18.0 kJ/mol of atoms
Size of the total moment: 0.00 μB per formula unit

a b c (Å): 7.934 7.934 7.934
angles (deg): 146.56 137.75 54.93
Sites, in units of the cell vectors:
Ca  0.000  0.000  0.000
Pd  0.055  0.308  0.746
Pd  0.268  0.500  0.768
Pd  0.438  0.692  0.746
Pd  0.562  0.308  0.254
Pd  0.732  0.500  0.232
Pd  0.945  0.692  0.254
Pb  0.368  0.868  0.500
Pb  0.632  0.132  0.500

---

Ca2Pd6Pb | PBE | relaxed

Summary:
Space group: Immm (71)
Mass density: 8.4 g cm⁻³
Density of states at the Fermi level: 4.4 states/eV/cell
E_form: -30.9 kJ/mol of atoms
Size of the total moment: 0.00 μB per formula unit

a b c (Å): 6.782 6.782 6.782
angles (deg): 141.12 101.29 91.48
Sites, in units of the cell vectors:
Ca  0.167  0.167  0.000
Ca  0.833  0.833  0.000
Pd  0.063  0.338  0.725
Pd  0.301  0.000  0.301
Pd  0.387  0.662  0.725
Pd  0.613  0.338  0.275
Pd  0.699  0.000  0.699
Pd  0.937  0.662  0.275
Pb  0.500  0.500  0.000

---

Ca5Pd6Pb | PBE | relaxed

Summary:
Space group: Immm (71)
Mass density: 6.7 g cm⁻³
Density of states at the Fermi level: 3.5 states/eV/cell
E_form: -59.5 kJ/mol of atoms
Size of the total moment: 0.00 μB per formula unit

a b c (Å): 8.564 8.564 8.564
angles (deg): 146.40 131.33 60.44
Sites, in units of the cell vectors:
Ca  0.000  0.000  0.000
Ca  0.170  0.670  0.500
Ca  0.339  0.339  0.000
Ca  0.661  0.661  0.000
Ca  0.830  0.330  0.500
Pd  0.086  0.836  0.251
Pd  0.244  0.500  0.744
Pd  0.415  0.164  0.251
Pd  0.585  0.836  0.749
Pd  0.756  0.500  0.256
Pd  0.914  0.164  0.749
Pb  0.500  0.000  0.500

---

Ca2Pd4Pb3 | PBE | relaxed

Summary:
Space group: Cmce (64)
Mass density: 9.2 g cm⁻³
Density of states at the Fermi level: 8.6 states/eV/cell
E_form: -48.8 kJ/mol of atoms
Size of the total moment: 0.00 μB per formula unit

a b c (Å): 9.246 9.246 7.391
angles (deg): 90.00 90.00 139.72
Sites, in units of the cell vectors:
Ca  0.098  0.902  0.911
Ca  0.402  0.598  0.411
Ca  0.598  0.402  0.589
Ca  0.902  0.098  0.089
Pd  0.161  0.839  0.520
Pd  0.175  0.325  0.750
Pd  0.325  0.175  0.250
Pd  0.339  0.661  0.020
Pd  0.661  0.339  0.980
Pd  0.675  0.825  0.750
Pd  0.825  0.675  0.250
Pd  0.839  0.161  0.480
Pb  0.000  0.000  0.500
Pb  0.010  0.490  0.750
Pb  0.490  0.010  0.250
Pb  0.500  0.500  0.000
Pb  0.510  0.990  0.750
Pb  0.990  0.510  0.250

---

CaPdPb2 | PBE | relaxed

Summary:
Space group: I-42d (122)
Mass density: 8.4 g cm⁻³
Density of states at the Fermi level: 5.5 states/eV/cell
E_form: -17.6 kJ/mol of atoms
Size of the total moment: 0.00 μB per formula unit

a b c (Å): 10.998 10.998 10.998
angles (deg): 155.95 155.95 34.27
Sites, in units of the cell vectors:
Ca  0.000  0.000  0.000
Ca  0.750  0.250  0.500
Pd  0.250  0.750  0.500
Pd  0.500  0.500  0.000
Pb  0.152  0.625  0.027
Pb  0.375  0.402  0.527
Pb  0.598  0.125  0.973
Pb  0.875  0.848  0.473

---

Ca4Pd3Pb8 | PBE | relaxed

Summary:
Space group: P-4m2 (115)
Mass density: 8.6 g cm⁻³
Density of states at the Fermi level: 9.7 states/eV/cell
E_form: -38.0 kJ/mol of atoms
Size of the total moment: 0.00 μB per formula unit

a b c (Å): 4.837 4.837 17.587
angles (deg): 90.00 90.00 90.00
Sites, in units of the cell vectors:
Ca  0.000  0.500  0.096
Ca  0.000  0.500  0.611
Ca  0.500  0.000  0.389
Ca  0.500  0.000  0.904
Pd  0.000  0.000  0.000
Pd  0.000  0.000  0.500
Pd  0.500  0.500  0.500
Pb  0.000  0.000  0.243
Pb  0.000  0.000  0.757
Pb  0.000  0.500  0.410
Pb  0.000  0.500  0.903
Pb  0.500  0.000  0.097
Pb  0.500  0.000  0.590
Pb  0.500  0.500  0.237
Pb  0.500  0.500  0.763